(i)
First-principles (PBE) data for a relaxed structure of Np3P4Pd4, as listed in the Alexandria database.

SG   No. 71
Crystal system   orthorhombic
Spin magnetization   10.334 Bohr magnetons per cell
Density of states at the Fermi level   21.7 states/eV/f.u.

Cell: 3.8615 7.6284 7.7532 Å, 119.47 104.42 90.00°
With the nearest neighbours (Å) after each atom.
Fractional coordinates of all 11 atoms:
Pd: 0.6791 0.8641 0.3583  4 P 2.41-2.66
Pd: 0.3209 0.5059 0.6417  4 P 2.41-2.66
Pd: 0.3209 0.1359 0.6417  4 P 2.41-2.66
Pd: 0.6791 0.4941 0.3583  4 P 2.41-2.66
P: 0.2322 0.7322 0.4644  6 Pd 2.49-2.66
P: 0.5000 0.2259 0.0000  2 Pd 2.41
P: 0.5000 0.7741 0.0000  2 Pd 2.41
P: 0.7678 0.2678 0.5356  6 Pd 2.49-2.66
Np: 0.8974 0.8974 0.7949  1 Np 2.65, 6 P 2.88-2.91
Np: 0.0000 0.5000 0.0000  6 P 2.85-3.00
Np: 0.1026 0.1026 0.2051  1 Np 2.65, 6 P 2.88-2.91



(ii)
First-principles (PBE) data for a relaxed structure of Np3P4Pd4, as listed in the Alexandria database.

SG   No. 38
Crystal system   orthorhombic
Spin magnetization   5.756 Bohr magnetons per cell
Density of states at the Fermi level   13.8 states/eV/f.u.

Cell: 3.8053 6.3459 8.2704 Å, 90.00 90.00 107.45°
With the nearest neighbours (Å) after each atom.
Fractional coordinates of all 11 atoms:
P: 0.9482 0.8964 0.0000  2 Pd 2.40
P: 0.7026 0.4052 0.7789  4 Pd 2.34-2.44
P: 0.9472 0.8944 0.5000  3 Pd 2.44-2.57
P: 0.7026 0.4052 0.2211  4 Pd 2.34-2.44
Pd: 0.0832 0.1664 0.2820  3 P 2.44
Pd: 0.7347 0.4693 0.5000  3 P 2.34-2.57
Pd: 0.0832 0.1664 0.7180  3 P 2.44
Pd: 0.5696 0.1392 0.0000  4 P 2.40-2.44
Np: 0.2817 0.5634 0.0000  2 Np 2.48, 2 P 2.77
Np: 0.3727 0.7455 0.7318  1 Np 2.48
Np: 0.3727 0.7455 0.2682  1 Np 2.48



Q: Which of them is the least stable? A: (ii).



(i)
First-principles (PBE) data for a relaxed structure of NpPS4, as listed in the Alexandria database.

SG   No. 82
Crystal system   tetragonal
Spin magnetization   4.000 Bohr magnetons per cell
Density of states at the Fermi level   6.3 states/eV/f.u.

Cell: 5.7308 5.7308 5.7307 Å, 111.50 111.50 105.49°
With the nearest neighbours (Å) after each atom.
Fractional coordinates of all 6 atoms:
Np: 0.7500 0.2500 0.5000  4 S 2.83
S: 0.8776 0.7908 0.3915  1 P 2.07
S: 0.5140 0.1224 0.9133  1 P 2.07
S: 0.3993 0.4861 0.6085  1 P 2.07
S: 0.2091 0.6007 0.0867  1 P 2.07
P: 0.5000 0.5000 0.0000  4 S 2.07



(ii)
First-principles (PBE) data for a relaxed structure of NpPS4, as listed in the Alexandria database.

SG   No. 15
Crystal system   monoclinic
Spin magnetization   3.979 Bohr magnetons per cell
Density of states at the Fermi level   8.4 states/eV/f.u.

Cell: 6.3262 6.4019 9.0240 Å, 104.46 104.13 107.45°
With the nearest neighbours (Å) after each atom.
Fractional coordinates of all 12 atoms:
S: 0.0270 0.7744 0.0880  2 Np 2.58-2.59, 1 P 2.73
S: 0.7011 0.9609 0.3506  1 P 2.08
S: 0.2989 0.0391 0.6494  1 P 2.08
S: 0.8505 0.6103 0.6494  1 P 2.08
S: 0.5610 0.3136 0.0880  2 Np 2.58-2.59, 1 P 2.73
S: 0.4390 0.6864 0.9120  2 Np 2.58-2.59, 1 P 2.73
S: 0.1495 0.3897 0.3506  1 P 2.08
S: 0.9730 0.2256 0.9120  2 Np 2.58-2.59, 1 P 2.73
Np: 0.3216 0.5716 0.1431  6 S 2.58-2.71
Np: 0.6784 0.4284 0.8569  6 S 2.58-2.71
P: 0.8482 0.0982 0.1964  2 S 2.08
P: 0.1518 0.9018 0.8036  2 S 2.08



Q: Which of them is the least stable? A: (ii).



(i)
First-principles (PBE) data for a relaxed structure of Np2PS, as listed in the Alexandria database.

SG   No. 166
Crystal system   trigonal
Spin magnetization   8.040 Bohr magnetons per cell
Density of states at the Fermi level   14.2 states/eV/f.u.

Cell: 3.9564 3.9564 6.7988 Å, 73.08 73.08 60.00°
With the nearest neighbours (Å) after each atom.
Fractional coordinates of all 4 atoms:
Np: 0.2500 0.2500 0.2501  3 S 2.79, 3 P 2.79
Np: 0.7500 0.7500 0.7499  3 S 2.79, 3 P 2.79
P: 0.0000 0.0000 0.0000  6 Np 2.79
S: 0.5000 0.5000 0.5000  6 Np 2.79



(ii)
First-principles (PBE) data for a relaxed structure of Np2PS, as listed in the Alexandria database.

SG   No. 160
Crystal system   trigonal
Spin magnetization   0.138 Bohr magnetons per cell
Density of states at the Fermi level   13.4 states/eV/f.u.

Cell: 3.7307 3.7307 7.4964 Å, 75.59 75.59 60.00°
With the nearest neighbours (Å) after each atom.
Fractional coordinates of all 4 atoms:
Np: 0.9457 0.9457 0.1629  3 P 2.76, 3 S 2.88
Np: 0.7715 0.7715 0.6855  3 P 2.74, 3 S 2.83
P: 0.3595 0.3595 0.9215  6 Np 2.74-2.76
S: 0.1901 0.1901 0.4297  6 Np 2.83-2.88



Q: Which of them is the least stable? A: (ii).



(i)
First-principles (PBE) data for a relaxed structure of NpSbP, as listed in the Alexandria database.

SG   No. 166
Crystal system   trigonal
Spin magnetization   7.915 Bohr magnetons per cell
Density of states at the Fermi level   6.9 states/eV/f.u.

Cell: 4.2470 4.2470 9.2344 Å, 76.71 76.71 60.00°
With the nearest neighbours (Å) after each atom.
Fractional coordinates of all 6 atoms:
Sb: 0.3008 0.3008 0.0975  3 Sb 3.00, 3 Np 3.18
Sb: 0.6992 0.6992 0.9025  3 Sb 3.00, 3 Np 3.18
Np: 0.4415 0.4415 0.6754  6 P 2.87-2.95, 1 Np 3.12, 3 Sb 3.18
Np: 0.5585 0.5585 0.3246  6 P 2.87-2.95, 1 Np 3.12, 3 Sb 3.18
P: 0.8360 0.8360 0.4919  3 P 2.46
P: 0.1640 0.1640 0.5081  3 P 2.46



(ii)
First-principles (PBE) data for a relaxed structure of NpSbP, as listed in the Alexandria database.

SG   No. 164
Crystal system   trigonal
Spin magnetization   0.357 Bohr magnetons per cell
Density of states at the Fermi level   2.7 states/eV/f.u.

Cell: 4.5617 4.5617 8.0170 Å, 90.00 90.00 120.00°
With the nearest neighbours (Å) after each atom.
Fractional coordinates of all 6 atoms:
P: 0.3333 0.6667 0.0018  3 P 2.63, 1 Sb 2.78, 6 Np 2.87-2.88
P: 0.6667 0.3333 0.9982  3 P 2.63, 1 Sb 2.78, 6 Np 2.87-2.88
Np: 0.0000 0.0000 0.8575  1 Np 2.28
Np: 0.0000 0.0000 0.1425  1 Np 2.28
Sb: 0.6667 0.3333 0.6513  1 P 2.78, 3 Np 3.11
Sb: 0.3333 0.6667 0.3487  1 P 2.78, 3 Np 3.11



Q: Which of them is the least stable? A: (ii).



(i)
First-principles (PBE) data for a relaxed structure of Np2PSe, as listed in the Alexandria database.

SG   No. 59
Crystal system   orthorhombic
Spin magnetization   17.477 Bohr magnetons per cell
Density of states at the Fermi level   11.9 states/eV/f.u.

Cell: 4.1058 6.5928 7.2030 Å, 90.00 90.00 90.00°
With the nearest neighbours (Å) after each atom.
Fractional coordinates of all 8 atoms:
Np: 0.7500 0.9970 0.7660  3 P 2.83, 3 Se 2.97
Np: 0.7500 0.5030 0.7660  3 P 2.83, 3 Se 2.97
Np: 0.2500 0.4970 0.2340  3 P 2.83, 3 Se 2.97
Np: 0.2500 0.0030 0.2340  3 P 2.83, 3 Se 2.97
Se: 0.2500 0.2500 0.5796  6 Np 2.97
Se: 0.7500 0.7500 0.4204  6 Np 2.97
P: 0.7500 0.2500 0.0838  6 Np 2.83
P: 0.2500 0.7500 0.9162  6 Np 2.83



(ii)
First-principles (PBE) data for a relaxed structure of Np2PSe, as listed in the Alexandria database.

SG   No. 59
Crystal system   orthorhombic
Spin magnetization   16.271 Bohr magnetons per cell
Density of states at the Fermi level   15.5 states/eV/f.u.

Cell: 4.0356 5.7073 8.0858 Å, 90.00 90.00 90.00°
With the nearest neighbours (Å) after each atom.
Fractional coordinates of all 8 atoms:
P: 0.5000 0.0000 0.6255  6 Np 2.78-2.86
P: 0.0000 0.5000 0.3745  6 Np 2.78-2.86
Np: 0.5000 0.5000 0.6140  4 P 2.80-2.86, 2 Se 2.93
Np: 0.0000 0.0000 0.3860  4 P 2.80-2.86, 2 Se 2.93
Np: 0.0000 0.0000 0.8622  2 P 2.78, 4 Se 2.86-2.92
Np: 0.5000 0.5000 0.1378  2 P 2.78, 4 Se 2.86-2.92
Se: 0.5000 0.0000 0.1239  6 Np 2.86-2.93
Se: 0.0000 0.5000 0.8761  6 Np 2.86-2.93



Q: Which of them is the least stable? A: (i).



(i)
First-principles (PBE) data for a relaxed structure of Np2PSe, as listed in the Alexandria database.

SG   No. 166
Crystal system   trigonal
Spin magnetization   8.262 Bohr magnetons per cell
Density of states at the Fermi level   15.6 states/eV/f.u.

Cell: 4.0355 4.0355 7.0252 Å, 73.31 73.31 60.00°
With the nearest neighbours (Å) after each atom.
Fractional coordinates of all 4 atoms:
Np: 0.2551 0.2551 0.2348  3 P 2.80, 3 Se 2.92
Np: 0.7449 0.7449 0.7652  3 P 2.80, 3 Se 2.92
P: 0.0000 0.0000 0.0000  6 Np 2.80
Se: 0.5000 0.5000 0.5000  6 Np 2.92



(ii)
First-principles (PBE) data for a relaxed structure of Np2PSe, as listed in the Alexandria database.

SG   No. 160
Crystal system   trigonal
Spin magnetization   0.147 Bohr magnetons per cell
Density of states at the Fermi level   15.4 states/eV/f.u.

Cell: 3.8250 3.8250 7.6802 Å, 75.58 75.58 60.00°
With the nearest neighbours (Å) after each atom.
Fractional coordinates of all 4 atoms:
Se: 0.6680 0.6680 0.9960  6 Np 2.88-2.92
P: 0.4987 0.4987 0.5040  6 Np 2.83-2.86
Np: 0.0854 0.0854 0.7437  3 P 2.83, 3 Se 2.88
Np: 0.2479 0.2479 0.2564  3 P 2.86, 3 Se 2.92



Q: Which of them is the least stable? A: (ii).